# Zr2GeW (PBE-GGA, optimized geometry)
data_Zr2GeW
_chemical_formula_sum 'Zr8 Ge4 W4'
_space_group_name_H-M_alt 'I -4 2 d'
_space_group_IT_number 122
_space_group_name_Hall 'I -4 2bw'
_cell_length_a 7.604
_cell_length_b 7.604
_cell_length_c 5.590
_cell_angle_alpha 90.00
_cell_angle_beta 90.00
_cell_angle_gamma 90.00
loop_
_atom_site_label
_atom_site_type_symbol
_atom_site_fract_x
_atom_site_fract_y
_atom_site_fract_z
Zr1 Zr 0.246 0.250 0.125
Ge1 Ge 0.000 0.000 0.000
W1 W 0.000 0.000 0.500
# calculated formation energy: 0.4307 eV per atom